(1)
Density functional theory data (GGA-PBE) for crystalline PaAlGa2Ni5 at its relaxed geometry.

- Raw total energy: -5.54 eV/atom
- Space group: No. 123
- Formation enthalpy at 0 K: -180 meV per atom

Lattice parameters (Å, degrees): 3.887 3.887 8.868 90.00 90.00 90.00
Atoms (fractional coordinates):
Pa1 0.000 0.000 0.000
Al1 0.000 0.000 0.500
Ga1 0.500 0.500 0.367
Ga2 0.500 0.500 0.633
Ni1 0.000 0.500 0.206
Ni2 0.000 0.500 0.794
Ni3 0.500 0.000 0.206
Ni4 0.500 0.000 0.794
Ni5 0.500 0.500 0.000

=====

(2)
Density functional theory data (GGA-PBE) for crystalline Pm3AlGa2Ni6 at its relaxed geometry.

- Raw total energy: -5.26 eV/atom
- Space group: No. 164
- Formation enthalpy at 0 K: -365 meV per atom

Lattice parameters (Å, degrees): 5.386 5.386 8.353 90.00 90.00 120.00
Atoms (fractional coordinates):
Pm1 0.000 0.000 0.000
Pm2 0.333 0.667 0.630
Pm3 0.667 0.333 0.370
Al1 0.000 0.000 0.500
Ga1 0.333 0.667 0.036
Ga2 0.667 0.333 0.964
Ni1 0.177 0.354 0.282
Ni2 0.177 0.823 0.282
Ni3 0.354 0.177 0.718
Ni4 0.646 0.823 0.282
Ni5 0.823 0.177 0.718
Ni6 0.823 0.646 0.718

=====

(3)
Density functional theory data (GGA-PBE) for crystalline PmAlGaNi3 at its relaxed geometry.

- Raw total energy: -5.12 eV/atom
- Space group: No. 63
- Formation enthalpy at 0 K: -313 meV per atom

Lattice parameters (Å, degrees): 6.723 6.723 5.395 90.00 90.00 125.76
Atoms (fractional coordinates):
Pm1 0.212 0.788 0.750
Pm2 0.788 0.212 0.250
Al1 0.460 0.540 0.750
Al2 0.540 0.460 0.250
Ga1 0.137 0.863 0.250
Ga2 0.863 0.137 0.750
Ni1 0.197 0.197 0.000
Ni2 0.197 0.197 0.500
Ni3 0.342 0.658 0.250
Ni4 0.658 0.342 0.750
Ni5 0.803 0.803 0.000
Ni6 0.803 0.803 0.500

=====

(4)
Density functional theory data (GGA-PBE) for crystalline Pm2Al2GaNi5 at its relaxed geometry.

- Raw total energy: -5.21 eV/atom
- Space group: No. 127
- Formation enthalpy at 0 K: -321 meV per atom

Lattice parameters (Å, degrees): 10.381 10.381 2.917 90.00 90.00 90.00
Atoms (fractional coordinates):
Pm1 0.173 0.327 0.000
Pm2 0.327 0.827 0.000
Pm3 0.673 0.173 0.000
Pm4 0.827 0.673 0.000
Al1 0.129 0.629 0.000
Al2 0.371 0.129 0.000
Al3 0.629 0.871 0.000
Al4 0.871 0.371 0.000
Ga1 0.000 0.000 0.000
Ga2 0.500 0.500 0.000
Ni1 0.000 0.500 0.500
Ni2 0.056 0.811 0.500
Ni3 0.189 0.056 0.500
Ni4 0.311 0.556 0.500
Ni5 0.444 0.311 0.500
Ni6 0.500 0.000 0.500
Ni7 0.556 0.689 0.500
Ni8 0.689 0.444 0.500
Ni9 0.811 0.944 0.500
Ni10 0.944 0.189 0.500

=====

(5)
Density functional theory data (GGA-PBE) for crystalline PmAlGaNi2 at its relaxed geometry.

- Raw total energy: -5.07 eV/atom
- Space group: No. 63
- Formation enthalpy at 0 K: -453 meV per atom

Lattice parameters (Å, degrees): 6.632 6.632 6.547 90.00 90.00 142.37
Atoms (fractional coordinates):
Pm1 0.119 0.881 0.750
Pm2 0.881 0.119 0.250
Al1 0.180 0.820 0.250
Al2 0.820 0.180 0.750
Ga1 0.500 0.500 0.000
Ga2 0.500 0.500 0.500
Ni1 0.312 0.688 0.545
Ni2 0.312 0.688 0.955
Ni3 0.688 0.312 0.045
Ni4 0.688 0.312 0.455

=====

(6)
Density functional theory data (GGA-PBE) for crystalline Pm2AlGaNi6 at its relaxed geometry.

- Raw total energy: -5.48 eV/atom
- Space group: No. 2
- Formation enthalpy at 0 K: -382 meV per atom

Lattice parameters (Å, degrees): 4.965 6.292 6.308 80.61 66.85 66.84
Atoms (fractional coordinates):
Pm1 0.249 0.299 0.203
Pm2 0.751 0.701 0.797
Al1 0.000 0.000 0.000
Ga1 0.500 0.500 0.500
Ni1 0.237 0.764 0.262
Ni2 0.249 0.922 0.579
Ni3 0.264 0.236 0.738
Ni4 0.736 0.764 0.262
Ni5 0.751 0.078 0.421
Ni6 0.763 0.236 0.738

=====

(7)
Density functional theory data (GGA-PBE) for crystalline Pm2Al3GaNi4 at its relaxed geometry.

- Raw total energy: -5.24 eV/atom
- Space group: No. 115
- Formation enthalpy at 0 K: -553 meV per atom

Lattice parameters (Å, degrees): 4.230 4.230 9.565 90.00 90.00 90.00
Atoms (fractional coordinates):
Pm1 0.000 0.500 0.245
Pm2 0.500 0.000 0.755
Al1 0.000 0.500 0.880
Al2 0.500 0.000 0.120
Al3 0.500 0.500 0.500
Ga1 0.000 0.000 0.500
Ni1 0.000 0.000 0.000
Ni2 0.000 0.500 0.630
Ni3 0.500 0.000 0.370
Ni4 0.500 0.500 0.000

=====

(8)
Density functional theory data (GGA-PBE) for crystalline Pm2AlGa3Ni4 at its relaxed geometry.

- Raw total energy: -5.11 eV/atom
- Space group: No. 115
- Formation enthalpy at 0 K: -568 meV per atom

Lattice parameters (Å, degrees): 4.111 4.111 10.064 90.00 90.00 90.00
Atoms (fractional coordinates):
Pm1 0.000 0.500 0.247
Pm2 0.500 0.000 0.753
Al1 0.000 0.000 0.500
Ga1 0.000 0.500 0.875
Ga2 0.500 0.000 0.125
Ga3 0.500 0.500 0.500
Ni1 0.000 0.000 0.000
Ni2 0.000 0.500 0.633
Ni3 0.500 0.000 0.367
Ni4 0.500 0.500 0.000